1.
Material: Ac4H2Pb3
Method: DFT, PBE-GGA
State: optimized geometry

Computed properties:
space group = C2/c, No. 15
uncorrected energy = -4.306 eV per atom
M_tot = 0.00 μB per atom
calculated volume = 30.74 Å³ per atom

abc: 9.087 9.087 7.304
angles: 101.13 101.13 70.78
Positions (direct):
Ac 0.113 0.677 0.968
Ac 0.233 0.383 0.406
Ac 0.323 0.887 0.532
Ac 0.383 0.233 0.906
Ac 0.617 0.767 0.094
Ac 0.677 0.113 0.468
Ac 0.767 0.617 0.594
Ac 0.887 0.323 0.032
H 0.140 0.414 0.065
H 0.414 0.140 0.565
H 0.586 0.860 0.435
H 0.860 0.586 0.935
Pb 0.012 0.231 0.586
Pb 0.231 0.012 0.086
Pb 0.491 0.509 0.750
Pb 0.509 0.491 0.250
Pb 0.769 0.988 0.914
Pb 0.988 0.769 0.414

***

2.
Material: Na2Ho2SnS6
Method: DFT, PBE-GGA
State: optimized geometry

Computed properties:
space group = C2/m, No. 12
uncorrected energy = -5.097 eV per atom
ΔE_f (raw) = -1410 meV/atom
M_tot = 0.00 μB per atom
calculated volume = 24.48 Å³ per atom

abc: 6.742 6.742 7.158
angles: 98.63 98.63 119.86
Positions (direct):
Na 0.166 0.834 0.000
Na 0.834 0.166 0.000
Ho 0.332 0.668 0.500
Ho 0.668 0.332 0.500
Sn 0.000 0.000 0.500
S 0.069 0.392 0.719
S 0.243 0.243 0.284
S 0.392 0.069 0.719
S 0.608 0.931 0.281
S 0.757 0.757 0.716
S 0.931 0.608 0.281

***

3.
Material: Zr2ScSe
Method: DFT, PBE-GGA
State: optimized geometry

Computed properties:
space group = I-4m2, No. 119
uncorrected energy = -7.020 eV per atom
ΔE_f (raw) = -292 meV/atom
M_tot = 0.00 μB per atom
calculated volume = 20.95 Å³ per atom

abc: 5.624 5.624 5.624
angles: 136.31 136.31 63.51
Positions (direct):
Zr 0.000 0.000 0.000
Zr 0.750 0.250 0.500
Sc 0.250 0.750 0.500
Se 0.500 0.500 0.000

***

4.
Material: BaSiSbRu2
Method: DFT, PBE-GGA
State: optimized geometry

Computed properties:
space group = P4/mmm, No. 123
uncorrected energy = -5.602 eV per atom
ΔE_f (raw) = 402 meV/atom
M_tot = 0.15 μB per atom
calculated volume = 23.37 Å³ per atom

abc: 4.691 4.691 5.311
angles: 90.00 90.00 90.00
Positions (direct):
Ba 0.000 0.000 0.000
Si 0.500 0.500 0.500
Sb 0.500 0.500 0.000
Ru 0.000 0.500 0.500
Ru 0.500 0.000 0.500

***

5.
Material: Dy2Tm5Bi5
Method: DFT, PBE-GGA
State: optimized geometry

Computed properties:
space group = C2/m, No. 12
uncorrected energy = -4.767 eV per atom
M_tot = 0.00 μB per atom
calculated formation energy = -520 meV/atom
calculated volume = 30.95 Å³ per atom

abc: 7.601 7.601 12.565
angles: 111.62 111.62 33.66
Positions (direct):
Dy 0.050 0.050 0.284
Dy 0.950 0.950 0.716
Tm 0.303 0.303 0.175
Tm 0.336 0.336 0.473
Tm 0.500 0.500 0.000
Tm 0.664 0.664 0.527
Tm 0.697 0.697 0.825
Bi 0.000 0.000 0.500
Bi 0.124 0.124 0.946
Bi 0.300 0.300 0.720
Bi 0.700 0.700 0.280
Bi 0.876 0.876 0.054

***

6.
Material: KBiAs
Method: DFT, PBE-GGA
State: optimized geometry

Computed properties:
space group = P-1, No. 2
uncorrected energy = -3.451 eV per atom
M_tot = 0.00 μB per atom
energy above the most stable polymorph in this dataset = 0 meV/atom
calculated formation energy = -242 meV/atom
calculated volume = 36.13 Å³ per atom

abc: 4.347 4.453 12.078
angles: 95.03 99.35 108.19
Positions (direct):
K 0.126 0.083 0.208
K 0.874 0.917 0.792
Bi 0.345 0.215 0.560
Bi 0.655 0.785 0.440
As 0.322 0.670 0.997
As 0.678 0.330 0.003